Material: KPtW2
Method: DFT, GGA-PBE
State: relaxed

CIF file:
```
data_KPtW2
_cell_length_a 9.7143
_cell_length_b 2.7820
_cell_length_c 7.1249
_cell_angle_alpha 90.00
_cell_angle_beta 99.67
_cell_angle_gamma 90.00
_symmetry_space_group_name_H-M 'C 1 m 1'
_symmetry_Int_Tables_number 8
_symmetry_space_group_name_Hall 'C -2y'
loop_
_atom_site_label
_atom_site_fract_x
_atom_site_fract_y
_atom_site_fract_z
_atom_site_occupancy
K1 0.0000 0.0000 0.0000 1
Pt1 0.2217 0.0000 0.7073 1
W1 0.0292 0.5000 0.4744 1
W2 0.2929 0.5000 0.4187 1
```

Summary:
Fermi-level density of states (states/eV/cell): 7.62
E_form (meV per atom): 828.5

Material: Tc2PAu
Method: DFT, GGA-PBE
State: relaxed

CIF file:
```
data_Tc2PAu
_cell_length_a 3.0412
_cell_length_b 4.2980
_cell_length_c 9.0420
_cell_angle_alpha 90.00
_cell_angle_beta 90.00
_cell_angle_gamma 90.00
_symmetry_space_group_name_H-M 'I m m 2'
_symmetry_Int_Tables_number 44
_symmetry_space_group_name_Hall 'I 2 -2'
loop_
_atom_site_label
_atom_site_fract_x
_atom_site_fract_y
_atom_site_fract_z
_atom_site_occupancy
Tc1 0.0000 0.0000 0.0000 1
Tc2 0.0000 0.5000 0.2242 1
P1 0.0000 0.0000 0.5250 1
Au1 0.0000 0.5000 0.7854 1
```

Summary:
Fermi-level density of states (states/eV/cell): 7.03
E_form (meV per atom): 182.0

Material: CeNiGe2Rh2
Method: DFT, GGA-PBE
State: relaxed

CIF file:
```
data_CeNiGe2Rh2
_cell_length_a 4.4555
_cell_length_b 4.4555
_cell_length_c 5.4477
_cell_angle_alpha 90.00
_cell_angle_beta 90.00
_cell_angle_gamma 90.00
_symmetry_space_group_name_H-M 'P 4/m m m'
_symmetry_Int_Tables_number 123
_symmetry_space_group_name_Hall '-P 4 2'
loop_
_atom_site_label
_atom_site_fract_x
_atom_site_fract_y
_atom_site_fract_z
_atom_site_occupancy
Ce1 0.0000 0.0000 0.0000 1
Ni1 0.0000 0.0000 0.5000 1
Ge1 0.0000 0.5000 0.5000 1
Rh1 0.5000 0.5000 0.2427 1
```

Summary:
Fermi-level density of states (states/eV/cell): 6.44
E_form (meV per atom): -335.6

Material: SmSc2Tl3Se6
Method: DFT, GGA-PBE
State: relaxed

CIF file:
```
data_SmSc2Tl3Se6
_cell_length_a 7.0708
_cell_length_b 12.2266
_cell_length_c 8.0892
_cell_angle_alpha 90.00
_cell_angle_beta 106.94
_cell_angle_gamma 90.00
_symmetry_space_group_name_H-M 'C 1 2/m 1'
_symmetry_Int_Tables_number 12
_symmetry_space_group_name_Hall '-C 2y'
loop_
_atom_site_label
_atom_site_fract_x
_atom_site_fract_y
_atom_site_fract_z
_atom_site_occupancy
Sm1 0.0000 0.0000 0.0000 1
Sc1 0.0000 0.3331 0.0000 1
Tl1 0.0000 0.1616 0.5000 1
Tl2 0.0000 0.5000 0.5000 1
Se1 0.2140 0.5000 0.1960 1
Se2 0.2425 0.1757 0.2005 1
```

Summary:
Raw formation energy (eV per atom): -1.29

Material: La2Tb2SmY4
Method: DFT, GGA-PBE
State: relaxed

CIF file:
```
data_La2Tb2SmY4
_cell_length_a 18.9118
_cell_length_b 3.6473
_cell_length_c 9.6703
_cell_angle_alpha 90.00
_cell_angle_beta 115.74
_cell_angle_gamma 90.00
_symmetry_space_group_name_H-M 'C 1 2/m 1'
_symmetry_Int_Tables_number 12
_symmetry_space_group_name_Hall '-C 2y'
loop_
_atom_site_label
_atom_site_fract_x
_atom_site_fract_y
_atom_site_fract_z
_atom_site_occupancy
La1 0.1658 0.0000 0.4977 1
Tb1 0.1476 0.5000 0.1630 1
Sm1 0.0000 0.5000 0.5000 1
Y1 0.0200 0.0000 0.8370 1
Y2 0.1859 0.5000 0.8369 1
```

Summary:
Fermi-level density of states (states/eV/cell): 27.19
E_form (meV per atom): -4.3

Material: YH6Ru2
Method: DFT, GGA-PBE
State: relaxed

CIF file:
```
data_YH6Ru2
_cell_length_a 5.7329
_cell_length_b 6.0742
_cell_length_c 5.0056
_cell_angle_alpha 90.00
_cell_angle_beta 112.21
_cell_angle_gamma 90.00
_symmetry_space_group_name_H-M 'C 1 2/m 1'
_symmetry_Int_Tables_number 12
_symmetry_space_group_name_Hall '-C 2y'
loop_
_atom_site_label
_atom_site_fract_x
_atom_site_fract_y
_atom_site_fract_z
_atom_site_occupancy
Y1 0.0000 0.0000 0.0000 1
H1 0.0824 0.5000 0.6983 1
H2 0.1840 0.3050 0.2776 1
Ru1 0.0000 0.2521 0.5000 1
```

Summary:
Fermi-level density of states (states/eV/cell): 8.00
Raw total energy (eV per atom): -5.170

Material: TcPAuCl2
Method: DFT, GGA-PBE
State: relaxed

CIF file:
```
data_TcPAuCl2
_cell_length_a 4.8925
_cell_length_b 4.8925
_cell_length_c 5.0753
_cell_angle_alpha 90.00
_cell_angle_beta 90.00
_cell_angle_gamma 90.00
_symmetry_space_group_name_H-M 'P 4/m m m'
_symmetry_Int_Tables_number 123
_symmetry_space_group_name_Hall '-P 4 2'
loop_
_atom_site_label
_atom_site_fract_x
_atom_site_fract_y
_atom_site_fract_z
_atom_site_occupancy
Tc1 0.0000 0.0000 0.0000 1
P1 0.5000 0.5000 0.0000 1
Au1 0.5000 0.5000 0.5000 1
Cl1 0.0000 0.5000 0.5000 1
```

Summary:
Fermi-level density of states (states/eV/cell): 2.79
Raw formation energy (eV per atom): 1.03

Material: Nb8Rh
Method: DFT, GGA-PBE
State: relaxed

CIF file:
```
data_Nb8Rh
_cell_length_a 9.8100
_cell_length_b 9.8100
_cell_length_c 3.3233
_cell_angle_alpha 90.00
_cell_angle_beta 90.00
_cell_angle_gamma 90.00
_symmetry_space_group_name_H-M 'I 4/m m m'
_symmetry_Int_Tables_number 139
_symmetry_space_group_name_Hall '-I 4 2'
loop_
_atom_site_label
_atom_site_fract_x
_atom_site_fract_y
_atom_site_fract_z
_atom_site_occupancy
Nb1 0.0000 0.3306 0.0000 1
Nb2 0.1648 0.1648 0.5000 1
Rh1 0.0000 0.0000 0.0000 1
```

Summary:
Fermi-level density of states (states/eV/cell): 15.45
E_form (meV per atom): -162.9

Material: LaBiSb2Te
Method: DFT, GGA-PBE
State: relaxed

CIF file:
```
data_LaBiSb2Te
_cell_length_a 6.0599
_cell_length_b 6.0599
_cell_length_c 5.9698
_cell_angle_alpha 90.00
_cell_angle_beta 90.00
_cell_angle_gamma 90.00
_symmetry_space_group_name_H-M 'P 4/m m m'
_symmetry_Int_Tables_number 123
_symmetry_space_group_name_Hall '-P 4 2'
loop_
_atom_site_label
_atom_site_fract_x
_atom_site_fract_y
_atom_site_fract_z
_atom_site_occupancy
La1 0.0000 0.0000 0.0000 1
Bi1 0.5000 0.5000 0.5000 1
Sb1 0.0000 0.5000 0.0000 1
Te1 0.0000 0.0000 0.5000 1
```

Summary:
Fermi-level density of states (states/eV/cell): 7.67
Raw formation energy (eV per atom): 0.43

Material: Ho4Bi3Te
Method: DFT, GGA-PBE
State: relaxed

CIF file:
```
data_Ho4Bi3Te
_cell_length_a 6.2661
_cell_length_b 6.2661
_cell_length_c 12.5235
_cell_angle_alpha 90.00
_cell_angle_beta 90.00
_cell_angle_gamma 90.00
_symmetry_space_group_name_H-M 'I 4/m m m'
_symmetry_Int_Tables_number 139
_symmetry_space_group_name_Hall '-I 4 2'
loop_
_atom_site_label
_atom_site_fract_x
_atom_site_fract_y
_atom_site_fract_z
_atom_site_occupancy
Ho1 0.0000 0.0000 0.2491 1
Ho2 0.0000 0.5000 0.0000 1
Bi1 0.0000 0.0000 0.0000 1
Bi2 0.0000 0.5000 0.2500 1
Te1 0.0000 0.0000 0.5000 1
```

Summary:
Fermi-level density of states (states/eV/cell): 6.69
Raw formation energy (eV per atom): -0.96

Calculated V in order - 189.8 118.2 108.1 669.0 600.9 161.4 121.5 319.8 219.2 491.7 Å³/cell